Record 1
A plane-wave DFT calculation with PBE was carried out for a relaxed CaHfTc4 crystal.

Results
Total DFT energy (no corrections) ... -213.7 eV/cell
V ... 17.71 Å³ per atom
Magnetic moment ... 0.00 μB per atom

Lattice parameters (Å, degrees): 7.519 7.519 7.519 90.00 90.00 90.00
Space group F-43m (No. 216)
One atom of each set of equivalent atoms:
Ca (0.000, 0.000, 0.000) (multiplicity 4)
Hf (0.250, 0.250, 0.250) (multiplicity 4)
Tc (0.125, 0.125, 0.625) (multiplicity 16)


Record 2
A plane-wave DFT calculation with PBE was carried out for a relaxed ErTm2Ga crystal.

Results
Energy relative to the lowest polymorph listed for this composition ... 0.00 eV/f.u.
Total DFT energy (no corrections) ... -70.7 eV/cell
V ... 26.83 Å³ per atom
Magnetic moment ... 0.14 μB per atom

Lattice parameters (Å, degrees): 3.624 12.587 9.412 90.00 90.00 90.00
Space group Cmcm (No. 63)
One atom of each set of equivalent atoms:
Er (0.000, 0.053, 0.250) (multiplicity 4)
Tm (0.000, 0.366, 0.049) (multiplicity 8)
Ga (0.000, 0.254, 0.750) (multiplicity 4)


Record 3
A plane-wave DFT calculation with PBE was carried out for a relaxed KMg2HgBi2 crystal.

Results
Total DFT energy (no corrections) ... -13.9 eV/cell
V ... 31.43 Å³ per atom
Magnetic moment ... 0.00 μB per atom

Lattice parameters (Å, degrees): 4.9664 4.9664 8.8295 90.00 90.00 120.00
Space group P-3m1 (No. 164)
One atom of each set of equivalent atoms:
K (0.0000, 0.0000, 0.0000) (multiplicity 1)
Mg (0.3333, 0.6667, 0.6205) (multiplicity 2)
Hg (0.0000, 0.0000, 0.5000) (multiplicity 1)
Bi (0.3333, 0.6667, 0.2648) (multiplicity 2)